# BaMg2Cu

A geometry-optimized BaMg2Cu structure (PBE, Alexandria via LeMat-Bulk).

abc: 4.0476 4.5085 6.8093
angles: 90.00 106.59 90.00
Space group Pm (No. 6)
One atom of each set of equivalent atoms:
Ba 0.0000 0.0000 0.0000 (multiplicity 1)
Mg 0.2645 0.5000 0.5477 (multiplicity 1)
Mg 0.7188 0.0000 0.4585 (multiplicity 1)
Cu 0.6256 0.5000 0.2565 (multiplicity 1)

Output
- Energy of formation from the pure elements: 0.04 eV per atom

# Sb2Pb2Cl

A geometry-optimized Sb2Pb2Cl structure (PBE, Alexandria via LeMat-Bulk).

abc: 8.5890 8.5890 4.3054
angles: 90.00 90.00 90.00
Space group P4/mbm (No. 127)
One atom of each set of equivalent atoms:
Sb 0.1190 0.3810 0.0000 (multiplicity 4)
Pb 0.1718 0.6718 0.5000 (multiplicity 4)
Cl 0.0000 0.0000 0.5000 (multiplicity 2)

Output
- Relative energy among the computed polymorphs: 107 meV/atom
- Formation energy from raw total energies: -0.13 eV/atom

# LiGdErZn

A geometry-optimized LiGdErZn structure (PBE, Alexandria via LeMat-Bulk).

abc: 7.2188 7.2188 7.2188
angles: 90.00 90.00 90.00
Space group F-43m (No. 216)
One atom of each set of equivalent atoms:
Li 0.0000 0.0000 0.0000 (multiplicity 4)
Gd 0.2500 0.2500 0.2500 (multiplicity 4)
Er 0.2500 0.2500 0.7500 (multiplicity 4)
Zn 0.0000 0.0000 0.5000 (multiplicity 4)

Output
- Energy of formation from the pure elements: -0.12 eV per atom

| no. | density of states at the Fermi level (states/eV/atom) | magnetic moment (μB per atom) | theoretical density (g cm⁻³) |
| --- | --- | --- | --- |
| 1 | 0.64 | 0.00 | 3.5 |
| 2 | 1.07 | 0.00 | 7.3 |
| 3 | 1.00 | 1.94 | 7.0 |